Entry 1:
Below is a relaxed ErTh6Tc3 crystal, with properties calculated at the PBE-GGA level.

Cell lengths 6.9531, 8.7689, 8.7689 Å; angles 92.69, 90.00, 90.00 degrees
Sites, in units of the cell vectors:
Th 0.0951 0.2802 0.2821
Er 0.6034 0.6972 0.3028
Tc 0.9024 0.9908 0.2422
Tc 0.3399 0.5035 0.4965
Th 0.5951 0.2821 0.2802
Th 0.3183 0.5275 0.0077
Tc 0.4024 0.0092 0.7578
Er 0.1034 0.3028 0.6972
Th 0.0807 0.6829 0.3171
Th 0.5951 0.7198 0.7179
Th 0.3299 0.9379 0.0621
Tc 0.9024 0.7578 0.0092
Th 0.5807 0.3171 0.6829
Tc 0.8399 0.4965 0.5035
Th 0.3183 0.9923 0.4725
Th 0.8183 0.0077 0.5275
Tc 0.4024 0.2422 0.9908
Th 0.8183 0.4725 0.9923
Th 0.8299 0.0621 0.9379
Th 0.0951 0.7179 0.7198

Summary:
Its symmetry is Cmc2_1 (36).


Entry 2:
Below is a relaxed Er3Th3TlTc2 crystal, with properties calculated at the PBE-GGA level.

Cell lengths 4.3875, 7.8888, 7.8888 Å; angles 120.00, 90.00, 90.00 degrees
Sites, in units of the cell vectors:
Th 0.0000 0.4230 0.0000
Tc 0.5000 0.3333 0.6667
Tl 0.0000 0.0000 0.0000
Th 0.0000 0.0000 0.4230
Er 0.5000 0.0000 0.7337
Er 0.5000 0.2663 0.2663
Er 0.5000 0.7337 0.0000
Th 0.0000 0.5770 0.5770
Tc 0.5000 0.6667 0.3333

Summary:
Its symmetry is P-62m (189).


Entry 3:
Below is a relaxed ErTmThTc crystal, with properties calculated at the PBE-GGA level.

Cell lengths 5.1906, 5.1906, 5.1906 Å; angles 60.00, 60.00, 60.00 degrees
Sites, in units of the cell vectors:
Tm 0.7500 0.7500 0.7500
Er 0.5000 0.5000 0.5000
Th 0.0000 0.0000 0.0000
Tc 0.2500 0.2500 0.2500

Summary:
Its symmetry is F-43m (216).


Entry 4:
Below is a relaxed YErThTc crystal, with properties calculated at the PBE-GGA level.

Cell lengths 4.9128, 4.9128, 5.6328 Å; angles 91.12, 115.78, 118.62 degrees
Sites, in units of the cell vectors:
Er 0.9478 0.8342 0.7819
Y 0.4007 0.0655 0.4662
Th 0.8844 0.3125 0.1968
Tc 0.4593 0.5924 0.0516

Summary:
Its symmetry is Cm (8).


no.,formation energy (meV per atom)
1,-27
2,-17
3,149
4,156